[1]
First-principles (PBE) data for crystalline Tb6PmPd3 at its relaxed geometry, as listed in Alexandria via LeMat-Bulk.

Cell and atoms, written as extended XYZ:
```
20
Lattice="5.7618 -6.6170 0.0000 5.7618 6.6170 0.0000 0.0000 0.0000 7.2400" Properties=species:S:1:pos:R:3 pbc="T T T"
Tb 5.7618 6.1765 3.6200
Tb 2.6117 2.5514 2.4573
Tb 5.7618 3.5453 1.0241
Tb 3.8022 0.5295 7.1876
Tb 3.8022 -0.5295 3.5676
Tb 2.6117 -2.5514 6.0773
Tb 8.9120 2.5514 2.4573
Tb 7.7215 0.5295 7.1876
Tb 7.7215 -0.5295 3.5676
Tb 5.7618 -3.5453 4.6441
Tb 8.9120 -2.5514 6.0773
Tb 5.7618 -6.1765 0.0000
Pm 5.7618 2.4177 4.5130
Pm 5.7618 -2.4177 0.8930
Pd 2.1487 1.3311 5.1143
Pd 2.1487 -1.3311 1.4943
Pd 5.7618 0.9582 2.0555
Pd 5.7618 -0.9582 5.6755
Pd 9.3749 1.3311 5.1143
Pd 9.3749 -1.3311 1.4943
```

Output
energy relative to the elements	-0.49	eV per atom

[2]
First-principles (PBE) data for crystalline Tb3Pm4Pd4 at its relaxed geometry, as listed in Alexandria via LeMat-Bulk.

Cell and atoms, written as extended XYZ:
```
11
Lattice="-1.9335 4.7702 7.9413 1.9335 -4.7702 7.9413 1.9335 4.7702 -7.9413" Properties=species:S:1:pos:R:3 pbc="T T T"
Tb 0.0000 0.0000 0.0000
Tb 1.9335 0.0000 6.1828
Tb 0.0000 4.7702 1.7585
Pm 1.9335 1.7787 -2.5213
Pm 1.9335 1.7787 2.5213
Pm 0.0000 2.9915 5.4199
Pm 0.0000 2.9915 10.4626
Pd 0.0000 0.0000 3.8716
Pd 1.9335 3.2970 0.0000
Pd 0.0000 1.4732 7.9413
Pd 0.0000 0.0000 12.0110
```

Output
energy relative to the elements	-0.53	eV per atom

[3]
First-principles (PBE) data for crystalline TbPm3Pd at its relaxed geometry, as listed in Alexandria via LeMat-Bulk.

Cell and atoms, written as extended XYZ:
```
10
Lattice="5.9247 -4.3315 0.0000 5.9247 4.3315 0.0000 -5.2229 0.0000 6.2526" Properties=species:S:1:pos:R:3 pbc="T T T"
Tb -0.5716 0.0000 1.6642
Tb 7.1981 0.0000 4.5883
Pm -1.3775 1.7067 4.6378
Pm -1.3775 -1.7067 4.6378
Pm 1.8605 0.0000 4.2868
Pm 4.7660 0.0000 1.9658
Pm 8.0040 1.7067 1.6148
Pm 8.0040 -1.7067 1.6148
Pd 2.2488 0.0000 0.5720
Pd 4.3777 0.0000 5.6806
```

Output
energy relative to the elements	-0.23	eV per atom

[4]
First-principles (PBE) data for crystalline Tb2Pm3Pd2 at its relaxed geometry, as listed in Alexandria via LeMat-Bulk.

Cell and atoms, written as extended XYZ:
```
7
Lattice="6.2091 -1.9102 0.0000 6.2091 1.9102 0.0000 -3.8493 0.0000 8.2887" Properties=species:S:1:pos:R:3 pbc="T T T"
Tb 0.7779 0.0000 2.5833
Tb 7.7909 0.0000 5.7055
Pm 4.5580 0.0000 0.4961
Pm 4.2844 0.0000 4.1444
Pm 4.0109 0.0000 7.7926
Pd -0.6702 0.0000 6.0203
Pd 9.2391 0.0000 2.2685
```

Output
energy relative to the elements	-0.47	eV per atom

[5]
First-principles (PBE) data for crystalline Tb3Pm3Pd4 at its relaxed geometry, as listed in Alexandria via LeMat-Bulk.

Cell and atoms, written as extended XYZ:
```
10
Lattice="3.9230 0.0000 0.0000 0.0000 5.5814 5.6942 0.0000 -5.5814 5.6942" Properties=species:S:1:pos:R:3 pbc="T T T"
Tb 0.0000 0.0000 0.0000
Tb 0.0000 -1.8489 7.6093
Tb 0.0000 1.8489 7.6093
Pm 0.0000 0.0000 3.7658
Pm 1.9615 -2.7847 4.7554
Pm 1.9615 2.7847 4.7554
Pd 1.9615 -1.4467 1.8483
Pd 1.9615 1.4467 1.8483
Pd 1.9615 0.0000 6.1817
Pd 1.9615 0.0000 9.0757
```

Output
energy relative to the elements	-0.68	eV per atom

[6]
First-principles (PBE) data for crystalline TbPmPd4 at its relaxed geometry, as listed in Alexandria via LeMat-Bulk.

Cell and atoms, written as extended XYZ:
```
6
Lattice="0.0000 3.8766 3.8766 3.8766 0.0000 3.8766 3.8766 3.8766 0.0000" Properties=species:S:1:pos:R:3 pbc="T T T"
Tb 0.0000 0.0000 0.0000
Pm 5.8148 5.8148 5.8148
Pd 2.9056 2.9056 2.9056
Pd 4.8475 4.8475 2.9056
Pd 4.8475 2.9056 4.8475
Pd 2.9056 4.8475 4.8475
```

Output
energy relative to the elements	-0.79	eV per atom

[7]
First-principles (PBE) data for crystalline TbPm2Pd at its relaxed geometry, as listed in Alexandria via LeMat-Bulk.

Cell and atoms, written as extended XYZ:
```
16
Lattice="7.1525 0.0000 0.0000 0.0000 10.0320 0.0000 0.0000 0.0000 6.5237" Properties=species:S:1:pos:R:3 pbc="T T T"
Tb 0.1965 2.5080 0.9277
Tb 3.3797 7.5240 4.1895
Tb 3.7728 2.5080 2.3342
Tb 6.9560 7.5240 5.5960
Pm 1.3035 0.6015 4.3805
Pm 1.3035 4.4145 4.3805
Pm 2.2727 5.6175 1.1186
Pm 2.2727 9.4305 1.1186
Pm 4.8798 0.6015 5.4050
Pm 4.8798 4.4145 5.4050
Pm 5.8490 5.6175 2.1432
Pm 5.8490 9.4305 2.1432
Pd 0.8198 7.5240 2.8700
Pd 2.7565 2.5080 6.1319
Pd 4.3961 7.5240 0.3918
Pd 6.3327 2.5080 3.6536
```

Output
energy relative to the elements	-0.43	eV per atom

[8]
First-principles (PBE) data for crystalline Tb2PmPd2 at its relaxed geometry, as listed in Alexandria via LeMat-Bulk.

Cell and atoms, written as extended XYZ:
```
10
Lattice="7.9474 0.0000 0.0000 0.0000 7.9474 0.0000 0.0000 0.0000 3.9060" Properties=species:S:1:pos:R:3 pbc="T T T"
Tb 1.3110 2.6626 0.0000
Tb 2.6626 6.6363 0.0000
Tb 5.2847 1.3110 0.0000
Tb 6.6363 5.2847 0.0000
Pm 0.0000 0.0000 1.9530
Pm 3.9737 3.9737 1.9530
Pd 1.0241 4.9977 1.9530
Pd 2.9496 1.0241 1.9530
Pd 4.9977 6.9233 1.9530
Pd 6.9233 2.9496 1.9530
```

Output
energy relative to the elements	-0.69	eV per atom

Among the records above, which one has the highest energy relative to the elements? TbPm3Pd

What is the energy relative to the elements in the sixth record? -0.79 eV per atom